Here is a geometry-optimized BeIrSe structure from Alexandria. Energies are from GGA-PBE.

## Properties
ΔE_f (raw): 0.25 eV/atom
SG: F-43m (216)
N(E_F): 2.14 states/eV per cell

Cell: 3.9591 3.9591 3.9591 Å, 60.00 60.00 60.00°
With the nearest neighbours (Å) after each atom.
Fractional positions:
Se 0.5000 0.5000 0.5000  4 Be 2.42
Ir 0.0000 0.0000 0.0000  4 Be 2.42
Be 0.7500 0.7500 0.7500  4 Ir 2.42, 4 Se 2.42

=====

Here is a geometry-optimized Tb12Pm7Sc structure from Alexandria. Energies are from GGA-PBE.

## Properties
SG: Im-3m (229)
DFT formation energy: 669 meV per atom
N(E_F): 28.42 states/eV per cell

Cell: 9.8091 9.8091 9.8091 Å, 109.47 109.47 109.47°
With the nearest neighbours (Å) after each atom.
Fractional positions:
Tb 0.2434 0.7567 0.0001  2 Pm 2.83
Tb 0.2434 0.2433 0.4867  2 Pm 2.83
Pm 0.0000 0.0000 0.5000  6 Tb 2.83
Tb 0.0001 0.2434 0.7567  2 Pm 2.83
Tb 0.5133 0.7566 0.7567  2 Pm 2.83
Tb 0.7567 0.5133 0.7566  2 Pm 2.83
Pm 0.5000 0.0000 0.5000  12 Tb 4.01-4.11
Tb 0.7566 0.2433 0.9999  2 Pm 2.83
Pm 0.5000 0.0000 0.0000  6 Tb 2.83
Pm 0.0000 0.5000 0.0000  6 Tb 2.83
Tb 0.7566 0.7567 0.5133  2 Pm 2.83
Pm 0.5000 0.5000 0.0000  12 Tb 4.01-4.11
Tb 0.2433 0.9999 0.7566  2 Pm 2.83
Tb 0.2433 0.4867 0.2434  2 Pm 2.83
Sc 0.0000 0.0000 0.0000  12 Tb 3.90
Tb 0.4867 0.2434 0.2433  2 Pm 2.83
Tb 0.7567 0.0001 0.2434  2 Pm 2.83
Pm 0.0000 0.5000 0.5000  12 Tb 4.01-4.11
Pm 0.5000 0.5000 0.5000  6 Tb 2.83
Tb 0.9999 0.7566 0.2433  2 Pm 2.83

=====

Here is a geometry-optimized LaMnSi2 structure from Alexandria. Energies are from GGA-PBE.

## Properties
ΔE_f (raw): -0.01 eV/atom
SG: Cmmm (65)
N(E_F): 3.17 states/eV per cell

Cell: 4.3665 4.3665 4.2129 Å, 90.00 90.00 90.23°
With the nearest neighbours (Å) after each atom.
Fractional positions:
Si 0.0000 0.0000 0.0000  4 Mn 3.03, 4 La 3.03, 4 Si 3.08-3.09
La 0.5000 0.0000 0.5000  8 Si 3.03, 4 Mn 3.08-3.09
Si 0.5000 0.5000 0.0000  4 La 3.03, 4 Mn 3.03, 4 Si 3.08-3.09
Mn 0.0000 0.5000 0.5000  8 Si 3.03, 4 La 3.08-3.09

=====

Here is a geometry-optimized AcPa2In9 structure from Alexandria. Energies are from GGA-PBE.

## Properties
SG: P4/mmm (123)
DFT formation energy: -209 meV per atom
N(E_F): 12.06 states/eV per cell

Cell: 4.7356 4.7356 14.1991 Å, 90.00 90.00 90.00°
With the nearest neighbours (Å) after each atom.
Fractional positions:
In 0.5000 0.0000 0.1782  8 In 3.28-3.47, 2 Pa 3.30, 2 Ac 3.47
Pa 0.0000 0.0000 0.3399  12 In 3.28-3.35
In 0.5000 0.5000 0.0000  4 Ac 3.35, 8 In 3.47
In 0.5000 0.5000 0.6617  8 In 3.28-3.30, 4 Pa 3.35
In 0.5000 0.0000 0.8218  8 In 3.28-3.47, 2 Pa 3.30, 2 Ac 3.47
In 0.5000 0.5000 0.3383  8 In 3.28-3.30, 4 Pa 3.35
In 0.5000 0.0000 0.5000  4 Pa 3.28, 8 In 3.30-3.35
In 0.0000 0.5000 0.8218  8 In 3.28-3.47, 2 Pa 3.30, 2 Ac 3.47
In 0.0000 0.5000 0.5000  4 Pa 3.28, 8 In 3.30-3.35
Pa 0.0000 0.0000 0.6601  12 In 3.28-3.35
In 0.0000 0.5000 0.1782  8 In 3.28-3.47, 2 Pa 3.30, 2 Ac 3.47
Ac 0.0000 0.0000 0.0000  12 In 3.35-3.47

=====

Here is a geometry-optimized Ba2PmAg structure from Alexandria. Energies are from GGA-PBE.

## Properties
SG: P4/mmm (123)
DFT formation energy: 42 meV per atom
N(E_F): 5.54 states/eV per cell

Cell: 4.0389 4.0389 10.0002 Å, 90.00 90.00 90.00°
With the nearest neighbours (Å) after each atom.
Fractional positions:
Ag 0.5000 0.5000 0.0000  8 Ba 3.52
Pm 0.5000 0.5000 0.5000  4 Pm 4.04, 8 Ba 4.10
Ba 0.0000 0.0000 0.7948  4 Ag 3.52
Ba 0.0000 0.0000 0.2052  4 Ag 3.52

=====

Here is a geometry-optimized TlOsF6 structure from Alexandria. Energies are from GGA-PBE.

## Properties
ΔE_f (raw): -1.87 eV/atom
SG: R-3m (166)

Cell: 5.6528 5.6528 6.1941 Å, 62.85 62.85 60.00°
With the nearest neighbours (Å) after each atom.
Fractional positions:
F 0.3881 0.9127 0.7865  1 Os 1.92
F 0.0873 0.0873 0.2135  1 Os 1.92
F 0.6119 0.0873 0.2135  1 Os 1.92
F 0.0873 0.6119 0.2135  1 Os 1.92
Os 0.0000 0.0000 0.0000  6 F 1.92
Tl 0.5000 0.5000 0.5000  12 F 3.20
F 0.9127 0.3881 0.7865  1 Os 1.92
F 0.9127 0.9127 0.7865  1 Os 1.92

=====

Here is a geometry-optimized K4Tl2Sb structure from Alexandria. Energies are from GGA-PBE.

## Properties
ΔE_f (raw): -0.02 eV/atom
SG: I4/mmm (139)
N(E_F): 4.60 states/eV per cell

Cell: 6.7536 6.7536 9.9032 Å, 70.06 70.06 90.00°
With the nearest neighbours (Å) after each atom.
Fractional positions:
K 0.0000 0.5000 0.0000  2 Sb 3.38, 4 Tl 3.72
Tl 0.5899 0.5899 0.8202  1 Tl 3.12
K 0.1957 0.1957 0.6085  1 Sb 3.40, 1 Tl 3.72
K 0.8043 0.8043 0.3915  1 Sb 3.40, 1 Tl 3.72
Tl 0.4101 0.4101 0.1798  1 Tl 3.12
K 0.5000 0.0000 0.0000  2 Sb 3.38, 4 Tl 3.72
Sb 0.0000 0.0000 0.0000  6 K 3.38-3.40

=====

Here is a geometry-optimized CsPdN2 structure from Alexandria. Energies are from GGA-PBE.

## Properties
ΔE_f (raw): 1.17 eV/atom
SG: R-3m (166)
N(E_F): 1.68 states/eV per cell

Cell: 7.1817 7.1817 7.1817 Å, 27.72 27.72 27.72°
With the nearest neighbours (Å) after each atom.
Fractional positions:
Pd 0.5000 0.5000 0.5000  6 N 2.15
N 0.8726 0.8726 0.8726  3 Pd 2.15
N 0.1274 0.1274 0.1274  3 Pd 2.15
Cs 0.0000 0.0000 0.0000  2 N 2.64